VASP calculation (GGA-PBE) on an optimized crystal structure of CaCe3Sm2N6.

Uncorrected energy = -8.035 eV per atom
Formation energy (no corrections) = -138.49 kJ per mole of atoms
Space group = C2/m (12)
Volume = 16.07 Å³/atom

POSCAR file:
```
CaCe3Sm2N6
1.0
-3.3399 -0.9391 0.8790
2.4358 -3.1082 5.9343
0.2384 7.7300 1.8777
N Sm Ce Ca
6 2 3 1
Cartesian
1.3039 1.9058 6.9901 N
-1.9696 1.7769 1.7009 N
-0.7094 0.0969 4.6941 N
-2.4442 5.9157 4.3192 N
1.7785 -2.2330 4.3718 N
0.0438 3.5858 3.9970 N
-0.9987 2.2943 5.9425 Sm
0.3330 1.3884 2.7486 Sm
1.5606 -0.1942 5.7219 Ce
-0.4520 -2.0237 3.4067 Ce
-2.2262 3.8768 2.9692 Ce
-1.6699 -0.4695 0.4395 Ca
```